1.
Crystalline Y5Ho2Tm at its relaxed geometry. Source: the Alexandria database, functional GGA-PBE.

```
Y5Ho2Tm
1.0
7.925 3.733 0.000
3.667 7.616 0.000
-0.001 0.000 11.156
Y Ho Tm
10 4 2
Cartesian
5.444 2.806 10.297 Y
5.446 2.806 6.437 Y
4.079 5.896 4.682 Y
4.079 5.896 0.895 Y
7.207 5.223 2.789 Y
4.384 6.125 8.367 Y
7.513 5.452 6.473 Y
7.512 5.452 10.260 Y
6.147 8.542 0.858 Y
6.145 8.542 4.719 Y
9.138 7.706 4.275 Ho
9.140 7.706 1.303 Ho
2.453 3.642 6.881 Ho
2.452 3.642 9.852 Ho
7.099 8.335 8.366 Tm
4.493 3.012 2.789 Tm
```

Results
For the total energy, the calculation gives -5.573 eV/atom. Its energy above the lowest structure with this stoichiometry is 0.0333 eV per atom. The symmetry is P2_1/m. The value obtained for the energy of formation from the pure elements is 170.3 meV/atom.

=====

2.
Crystalline TeRu2Se at its relaxed geometry. Source: the Alexandria database, functional GGA-PBE.

```
TeRu2Se
1.0
-3.843 -0.379 1.956
-3.159 -2.953 0.210
1.301 -2.776 4.603
Ru Se Te
2 1 1
Cartesian
-6.951 -3.412 2.304 Ru
-2.902 -2.974 3.247 Ru
-1.425 -1.527 1.692 Se
-4.276 -4.581 5.077 Te
```

Results
For the total energy, the calculation gives -6.043 eV/atom. Its energy above the lowest structure with this stoichiometry is 0.1838 eV per atom. For the uncorrected formation energy, the calculation gives 251 meV per atom. The symmetry is C2/m.

=====

3.
Crystalline K3Tl2Hg2Au4 at its relaxed geometry. Source: the Alexandria database, functional GGA-PBE.

```
K3Tl2Hg2Au4
1.0
-2.006 4.302 1.644
-2.921 -3.470 -2.159
-2.522 -6.428 13.742
K Tl Hg Au
3 2 2 4
Cartesian
-1.841 -4.693 10.034 K
0.000 0.000 0.000 K
-0.681 -1.735 3.709 K
-3.378 -1.009 6.192 Tl
-4.071 -4.587 7.035 Tl
-4.478 -3.813 12.187 Hg
-2.971 -1.783 1.040 Hg
-2.648 0.853 2.212 Au
-4.801 -6.448 11.015 Au
-3.857 -2.230 8.803 Au
-3.592 -3.366 4.424 Au
```

Results
For the total energy, the calculation gives -2.190 eV/atom. The symmetry is P-3m1. The value obtained for the energy of formation from the pure elements is -214.2 meV/atom.